(1)
The following is a DFT calculation (PBE-GGA) of a relaxed structure of Y2CSe.

The space group is Pmn2_1 (No. 31) and the conventional cell measures 3.914, 11.096 and 3.906 Å, with angles of 90.00, 90.00 and 90.00 degrees. The distinct sites, in fractional coordinates, are Y at (0.000, 0.101, 0.000), Y at (0.000, 0.678, 0.031), C at (0.000, 0.882, 0.088) and Se at (0.000, 0.378, 0.034).

The formation energy without anion corrections comes out at -1.034 eV per atom. The energy comes out at -7.443 eV/atom.



(2)
The following is a DFT calculation (PBE-GGA) of a relaxed structure of Pm2Be3CuPt4.

The space group is P-4m2 (No. 115) and the conventional cell measures 4.048, 4.048 and 10.026 Å, with angles of 90.00, 90.00 and 90.00 degrees. The distinct sites, in fractional coordinates, are Pm at (0.000, 0.500, 0.248), Be at (0.000, 0.500, 0.882), Be at (0.500, 0.500, 0.500), Cu at (0.000, 0.000, 0.500), Pt at (0.000, 0.000, 0.000), Pt at (0.000, 0.500, 0.647) and Pt at (0.500, 0.500, 0.000).

The energy comes out at -5.707 eV/atom.



(3)
The following is a DFT calculation (PBE-GGA) of a relaxed structure of CsTlS2.

The space group is Fm-3m (No. 225) and the conventional cell measures 7.888, 7.888 and 7.888 Å, with angles of 90.00, 90.00 and 90.00 degrees. The distinct sites, in fractional coordinates, are Cs at (0.000, 0.000, 0.000), Tl at (0.000, 0.000, 0.500) and S at (0.250, 0.250, 0.250).

The formation energy without anion corrections comes out at -0.067 eV per atom. The energy comes out at -2.936 eV/atom.



(4)
The following is a DFT calculation (PBE-GGA) of a relaxed structure of Pr2PuNpAs4.

The space group is P2/m (No. 10) and the conventional cell measures 7.294, 4.211 and 7.300 Å, with angles of 90.00, 109.44 and 90.00 degrees. The distinct sites, in fractional coordinates, are Pr at (0.000, 0.000, 0.000), Pr at (0.000, 0.500, 0.500), Pu at (0.500, 0.000, 0.500), Np at (0.500, 0.500, 0.000), As at (0.265, 0.500, 0.253) and As at (0.266, 0.000, 0.757).

The energy comes out at -8.098 eV/atom.



(5)
The following is a DFT calculation (PBE-GGA) of a relaxed structure of Ac2WN4.

The space group is P2_1/m (No. 11) and the conventional cell measures 6.140, 6.132 and 7.433 Å, with angles of 90.00, 109.89 and 90.00 degrees. The distinct sites, in fractional coordinates, are Ac at (0.184, 0.250, 0.019), Ac at (0.284, 0.250, 0.562), W at (0.253, 0.750, 0.798), N at (0.049, 0.510, 0.734), N at (0.421, 0.750, 0.061) and N at (0.463, 0.750, 0.662).

The formation energy without anion corrections comes out at -1.056 eV per atom. The energy comes out at -8.838 eV/atom.



(6)
The following is a DFT calculation (PBE-GGA) of a relaxed structure of TlAgSe2.

The space group is P2_1/c (No. 14) and the conventional cell measures 8.874, 4.424 and 13.722 Å, with angles of 90.00, 119.35 and 90.00 degrees. The distinct sites, in fractional coordinates, are Tl at (0.233, 0.181, 0.287), Ag at (0.217, 0.036, 0.491), Se at (0.115, 0.676, 0.132) and Se at (0.417, 0.546, 0.548).

The formation energy without anion corrections comes out at -0.101 eV per atom. The energy comes out at -3.148 eV/atom.



(7)
The following is a DFT calculation (PBE-GGA) of a relaxed structure of CaH2Pd3.

The space group is P6/mmm (No. 191) and the conventional cell measures 5.4761, 5.4761 and 2.9347 Å, with angles of 90.00, 90.00 and 120.00 degrees. The distinct sites, in fractional coordinates, are Ca at (0.0000, 0.0000, 0.0000), H at (0.3333, 0.6667, 0.0000) and Pd at (0.0000, 0.5000, 0.5000).

The energy comes out at -4.332 eV/atom.



(8)
The following is a DFT calculation (PBE-GGA) of a relaxed structure of InCo2Se.

The space group is R-3m (No. 166, hexagonal axes) and the conventional cell measures 3.0885, 3.0885 and 22.4345 Å, with angles of 90.00, 90.00 and 120.00 degrees. The distinct sites, in fractional coordinates, are In at (0.0000, 0.0000, 0.0000), Co at (0.0000, 0.0000, 0.2403) and Se at (0.0000, 0.0000, 0.5000).

The formation energy without anion corrections comes out at 0.229 eV per atom. The energy comes out at -4.880 eV/atom.



(9)
The following is a DFT calculation (PBE-GGA) of a relaxed structure of BaLaFe2.

The space group is P4mm (No. 99) and the conventional cell measures 3.468, 3.468 and 8.797 Å, with angles of 90.00, 90.00 and 90.00 degrees. The distinct sites, in fractional coordinates, are Ba at (0.000, 0.000, 0.000), La at (0.500, 0.500, 0.580), Fe at (0.000, 0.000, 0.349) and Fe at (0.500, 0.500, 0.280).

The energy comes out at -5.535 eV/atom.



(10)
The following is a DFT calculation (PBE-GGA) of a relaxed structure of CuC5.

The space group is F-43m (No. 216) and the conventional cell measures 5.966, 5.966 and 5.966 Å, with angles of 90.00, 90.00 and 90.00 degrees. The distinct sites, in fractional coordinates, are Cu at (0.000, 0.000, 0.000), C at (0.093, 0.093, 0.407) and C at (0.250, 0.250, 0.750).

The energy comes out at -5.101 eV/atom.



(11)
The following is a DFT calculation (PBE-GGA) of a relaxed structure of ZrSnBr6.

The space group is R-3 (No. 148, hexagonal axes) and the conventional cell measures 7.0469, 7.0469 and 19.1470 Å, with angles of 90.00, 90.00 and 120.00 degrees. The distinct sites, in fractional coordinates, are Zr at (0.0000, 0.0000, 0.0000), Sn at (0.0000, 0.0000, 0.5000) and Br at (0.0116, 0.3156, 0.9210).

The formation energy without anion corrections comes out at -1.110 eV per atom. The energy comes out at -3.933 eV/atom.



(12)
The following is a DFT calculation (PBE-GGA) of a relaxed structure of KY2ZrOs.

The space group is P4/mmm (No. 123) and the conventional cell measures 5.748, 5.748 and 4.916 Å, with angles of 90.00, 90.00 and 90.00 degrees. The distinct sites, in fractional coordinates, are K at (0.000, 0.000, 0.000), Y at (0.000, 0.500, 0.500), Zr at (0.500, 0.500, 0.500) and Os at (0.500, 0.500, 0.000).

The energy comes out at -5.817 eV/atom.